(1)
Density functional theory data (PBE-GGA) for crystalline Th3Sn at its relaxed geometry.

a = 3.4428 Å, b = 3.4736 Å, c = 10.7992 Å
α = 90.00°, β = 90.00°, γ = 90.00°
Space group Pmm2 (No. 25)
Symmetry-distinct sites (fractional):
Th 0.0000 0.0000 0.0000 (multiplicity 1)
Th 0.0000 0.5000 0.2766 (multiplicity 1)
Th 0.5000 0.5000 0.7565 (multiplicity 1)
Sn 0.5000 0.0000 0.4920 (multiplicity 1)

VASP energy (eV per cell): -26.1

=====

(2)
Density functional theory data (PBE-GGA) for crystalline Co3Cu at its relaxed geometry.

a = 2.4981 Å, b = 2.4981 Å, c = 7.1665 Å
α = 90.00°, β = 90.00°, γ = 90.00°
Space group P4/mmm (No. 123)
Symmetry-distinct sites (fractional):
Co 0.0000 0.0000 0.0000 (multiplicity 1)
Co 0.5000 0.5000 0.2411 (multiplicity 2)
Cu 0.0000 0.0000 0.5000 (multiplicity 1)

VASP energy (eV per cell): -25.0

=====

(3)
Density functional theory data (PBE-GGA) for crystalline TlPW2 at its relaxed geometry.

a = 5.7377 Å, b = 8.8148 Å, c = 2.9773 Å
α = 90.00°, β = 113.38°, γ = 90.00°
Space group C2/m (No. 12)
Symmetry-distinct sites (fractional):
Tl 0.0000 0.0000 0.0000 (multiplicity 2)
P 0.0000 0.5000 0.0000 (multiplicity 2)
W 0.2500 0.2500 0.5000 (multiplicity 4)

Energy above the most stable polymorph in this dataset (eV per atom): 0.734

=====

(4)
Density functional theory data (PBE-GGA) for crystalline LaNdCBr at its relaxed geometry.

a = 3.8279 Å, b = 3.8279 Å, c = 22.9146 Å
α = 90.00°, β = 90.00°, γ = 120.00°
Space group R3m (No. 160, hexagonal axes)
Symmetry-distinct sites (fractional):
La 0.0000 0.0000 0.0000 (multiplicity 3)
Nd 0.0000 0.0000 0.7890 (multiplicity 3)
C 0.0000 0.0000 0.3957 (multiplicity 3)
Br 0.0000 0.0000 0.2236 (multiplicity 3)

VASP energy (eV per cell): -72.4

=====

(5)
Density functional theory data (PBE-GGA) for crystalline Al8CoAg2 at its relaxed geometry.

a = 17.0989 Å, b = 4.1828 Å, c = 5.3545 Å
α = 90.00°, β = 107.15°, γ = 90.00°
Space group C2/m (No. 12)
Symmetry-distinct sites (fractional):
Al 0.0208 0.0000 0.2645 (multiplicity 4)
Al 0.0922 0.5000 0.7473 (multiplicity 4)
Al 0.1373 0.5000 0.2835 (multiplicity 4)
Al 0.2230 0.0000 0.1468 (multiplicity 4)
Co 0.0000 0.5000 0.0000 (multiplicity 2)
Ag 0.1785 0.0000 0.6271 (multiplicity 4)

VASP energy (eV per cell): -87.3

=====

(6)
Density functional theory data (PBE-GGA) for crystalline NbCd2W at its relaxed geometry.

a = 6.6618 Å, b = 6.6618 Å, c = 6.6618 Å
α = 90.00°, β = 90.00°, γ = 90.00°
Space group Fm-3m (No. 225)
Symmetry-distinct sites (fractional):
Nb 0.0000 0.0000 0.0000 (multiplicity 4)
Cd 0.2500 0.2500 0.2500 (multiplicity 8)
W 0.0000 0.0000 0.5000 (multiplicity 4)

Energy above the most stable polymorph in this dataset (eV per atom): 0.000

=====

(7)
Density functional theory data (PBE-GGA) for crystalline Ba2Li2Ag at its relaxed geometry.

a = 9.1237 Å, b = 9.1237 Å, c = 5.1946 Å
α = 90.00°, β = 90.00°, γ = 90.00°
Space group P4/mbm (No. 127)
Symmetry-distinct sites (fractional):
Ba 0.1750 0.3250 0.0000 (multiplicity 4)
Li 0.1177 0.6177 0.5000 (multiplicity 4)
Ag 0.0000 0.0000 0.0000 (multiplicity 2)

Energy above the most stable polymorph in this dataset (eV per atom): 0.256

=====

(8)
Density functional theory data (PBE-GGA) for crystalline TbAlGe at its relaxed geometry.

a = 3.9703 Å, b = 10.7410 Å, c = 6.0549 Å
α = 90.00°, β = 90.00°, γ = 90.00°
Space group Cmcm (No. 63)
Symmetry-distinct sites (fractional):
Tb 0.0000 0.1817 0.2500 (multiplicity 4)
Al 0.0000 0.1020 0.7500 (multiplicity 4)
Ge 0.0000 0.5000 0.0000 (multiplicity 4)

VASP energy (eV per cell): -57.1

=====

Density of states at the Fermi level? In order: 5.9; 4.9; 3.1; 2.0; 2.5; 2.9; 2.6; 1.9 states/eV/f.u..